Record 1
First-principles (SCAN) data for a PBEsol-optimized structure of TaNiAu, as listed in the Alexandria database.

Calculated values
symmetry: No. 216
energy above the most stable polymorph in this dataset: 31.4 kJ per mole of atoms
magnetization: 0.0 Bohr magnetons per cell
ΔH_f (0 K): 84 meV per atom

Structure (POSCAR):
```
TaNiAu
1.0
4.119 0.000 0.000
2.059 3.567 0.000
2.059 1.189 3.363
Au Ni Ta
1 1 1
Cartesian
4.119 2.378 1.681
2.059 1.189 0.841
0.000 0.000 0.000
```

---

Record 2
First-principles (SCAN) data for a PBEsol-optimized structure of TaNi2Au, as listed in the Alexandria database.

Calculated values
symmetry: No. 139
magnetization: 0.6 Bohr magnetons per cell
ΔH_f (0 K): -212 meV per atom

Structure (POSCAR):
```
TaNi2Au
1.0
3.916 0.000 0.000
-1.958 4.035 0.017
0.000 1.887 3.432
Ni Au Ta
2 1 1
Cartesian
0.000 2.489 0.866
1.958 3.432 2.582
0.000 0.000 0.000
1.958 0.943 1.716
```

---

Record 3
First-principles (SCAN) data for a PBEsol-optimized structure of Ta2Ni2Au, as listed in the Alexandria database.

Calculated values
symmetry: No. 127
magnetization: 0.0 Bohr magnetons per cell
ΔH_f (0 K): -256 meV per atom

Structure (POSCAR):
```
Ta2Ni2Au
1.0
-0.385 -1.619 2.762
-1.724 -5.478 -3.451
6.424 -1.889 -0.212
Ni Au Ta
4 2 4
Cartesian
4.968 -3.697 -1.475
2.517 -5.968 -3.147
-0.268 -3.669 -2.188
2.183 -1.398 -0.515
0.000 0.000 0.000
2.350 -3.683 -1.831
3.820 -3.008 0.652
3.983 -6.048 -1.108
0.495 -5.977 -1.552
0.333 -2.937 0.207
```

---

Which of these has the lowest ΔH_f (0 K)? Ta2Ni2Au